Computed, not measured: crystalline RbTl2GePd at its relaxed geometry at the PBE-GGA level of DFT.

Structure (POSCAR):
```
RbTl2GePd
1.0
-2.887 3.825 -2.358
-0.202 -3.347 -5.183
-4.490 -2.347 1.690
Pd Tl Rb Ge
1 2 1 1
direct
0.000 0.000 0.000
0.500 0.000 0.000
0.000 0.000 0.500
0.000 0.500 0.000
0.500 0.500 0.500
```

Summary:
formation energy from the elements	0.3037	eV/atom
VASP energy	-2.80	eV per atom
crystal system	tetragonal